Entry 1:
Compound: SrMg2Br
Source: the Alexandria database
Functional: GGA-PBE
Structure: relaxed

abc: 4.2599 6.0880 9.6815
angles: 90.00 90.00 90.00
Closest atoms and distances in Å follow each position.
Space group Cmmm (No. 65)
Symmetry-distinct sites (fractional):
Sr 0.0000 0.0000 0.0000 (multiplicity 2)  4 Mg 3.47, 4 Sr 3.72
Mg 0.0000 0.5000 0.2831 (multiplicity 4)  2 Br 2.99
Br 0.0000 0.0000 0.5000 (multiplicity 2)  4 Mg 2.99

Calculated values
As for the energy relative to the elements, uncorrected: -0.32 eV/atom. The calculation puts the polymorph energy (0 for the lowest one) at 23.3 kJ/mol of atoms. As for the total energy: -15.64 eV/cell.

=====

Entry 2:
Compound: SrMg2Br
Source: the Alexandria database
Functional: GGA-PBE
Structure: relaxed

abc: 4.4270 4.4270 13.0086
angles: 90.00 90.00 90.00
Closest atoms and distances in Å follow each position.
Space group I4/mmm (No. 139)
Symmetry-distinct sites (fractional):
Sr 0.0000 0.0000 0.0000 (multiplicity 2)  4 Br 3.13
Mg 0.0000 0.5000 0.2500 (multiplicity 4)  4 Mg 3.13
Br 0.0000 0.0000 0.5000 (multiplicity 2)  4 Sr 3.13

Calculated values
As for the energy relative to the elements, uncorrected: -0.50 eV/atom. The calculation puts the polymorph energy (0 for the lowest one) at 5.5 kJ/mol of atoms. As for the total energy: -17.12 eV/cell.

=====

Entry 3:
Compound: SrMg5Br12
Source: the Alexandria database
Functional: GGA-PBE
Structure: relaxed

abc: 6.9221 11.9953 14.2381
angles: 90.00 90.15 90.00
Closest atoms and distances in Å follow each position.
Space group C2/m (No. 12)
Symmetry-distinct sites (fractional):
Sr 0.0000 0.0000 0.0000 (multiplicity 2)  6 Br 3.01
Mg 0.0000 0.1664 0.5000 (multiplicity 4)  6 Br 2.73
Mg 0.0000 0.3333 0.0000 (multiplicity 4)  6 Br 2.70-2.71
Mg 0.0000 0.5000 0.5000 (multiplicity 2)  6 Br 2.73-2.74
Br 0.1304 0.5000 0.1114 (multiplicity 4)  2 Mg 2.71, 1 Sr 3.01
Br 0.1658 0.0000 0.3970 (multiplicity 4)  3 Mg 2.73-2.74
Br 0.1661 0.3334 0.3975 (multiplicity 8)  3 Mg 2.73
Br 0.1855 0.1850 0.1113 (multiplicity 8)  2 Mg 2.70-2.71, 1 Sr 3.01

Calculated values
As for the energy relative to the elements, uncorrected: -1.57 eV/atom. As for the total energy: -115.94 eV/cell.